A plane-wave DFT calculation with PBE was carried out for an optimized crystal structure of GaHg2C.

Summary:
DFT formation energy: 1053 meV per atom

Cell and atoms, written as extended XYZ:
```
8
Lattice="0.000 4.872 4.872 4.872 0.000 4.872 4.872 4.872 0.000" Properties=species:S:1:pos:R:3 pbc="T T T"
Ga 1.218 1.218 1.218
Ga 8.526 8.526 8.526
Hg 4.872 2.436 2.436
Hg 2.436 4.872 2.436
Hg 2.436 2.436 4.872
Hg 4.872 4.872 4.872
C 3.654 3.654 3.654
C 6.090 6.090 6.090
```